1.
Entry from Alexandria via LeMat-Bulk: an optimized crystal structure of RbSnAsSe6 (PBE).

Summary:
symmetry	P1, No. 1
formation energy (no corrections)	-315	meV/atom
raw total energy	-3.71	eV/atom

abc: 8.7046 6.7883 8.5911
angles: 74.11 73.63 40.75
Closest atoms and distances in Å follow each position.
Fractional coordinates of all 9 atoms:
Se1 0.0783 0.2785 0.2912  1 Se 2.41, 1 Sn 2.64
Se2 0.9594 0.7353 0.7879  1 Se 2.32
Rb1 0.8783 0.2571 0.9667  9 Se 3.59-3.96
Se3 0.6233 0.2264 0.6947  1 Se 2.32, 1 As 2.60
Sn1 0.6518 0.5847 0.4483  5 Se 2.64-2.87
As1 0.3756 0.2884 0.5326  3 Se 2.44-2.60
Se4 0.3542 0.7446 0.2767  1 Se 2.41, 1 Sn 2.66
Se5 0.6586 0.9872 0.2981  1 As 2.48, 1 Sn 2.72
Se6 0.4203 0.8979 0.7037  1 As 2.44, 1 Sn 2.64


2.
Entry from Alexandria via LeMat-Bulk: an optimized crystal structure of Rb2SnAsSe5 (PBE).

Summary:
symmetry	Cmc2_1, No. 36
formation energy (no corrections)	-548	meV/atom
Fermi-level density of states	2.57	states/eV/f.u.
raw total energy	-3.66	eV/atom

abc: 4.3297 10.2410 14.4388
angles: 90.00 90.00 102.20
Closest atoms and distances in Å follow each position.
Fractional coordinates of all 18 atoms:
Rb1 0.1347 0.2695 0.6874  7 Se 3.45-3.81
Rb2 0.1226 0.2451 0.3316  7 Se 3.45-3.83
Se1 0.9401 0.8802 0.5115  2 As 2.53
Sn1 0.2075 0.4150 0.0346  3 Se 2.53-2.76
Se2 0.4880 0.9761 0.2887  1 As 2.30
Sn2 0.7925 0.5850 0.5346  3 Se 2.53-2.76
Se3 0.3131 0.6262 0.6494  2 Sn 2.76
Rb3 0.8653 0.7305 0.1874  7 Se 3.45-3.81
Se4 0.0599 0.1198 0.0115  2 As 2.53
Se5 0.3094 0.6187 0.3902  1 As 2.39
Se6 0.6906 0.3813 0.8902  1 As 2.39
As1 0.4265 0.8531 0.4234  4 Se 2.30-2.53
Se7 0.3321 0.6642 0.0071  1 Sn 2.53
Se8 0.6679 0.3358 0.5071  1 Sn 2.53
Se9 0.5120 0.0239 0.7887  1 As 2.30
Se10 0.6869 0.3738 0.1494  2 Sn 2.76
As2 0.5735 0.1469 0.9234  4 Se 2.30-2.53
Rb4 0.8774 0.7549 0.8316  7 Se 3.45-3.83


3.
Entry from Alexandria via LeMat-Bulk: an optimized crystal structure of RbSnAsSe3 (PBE).

Summary:
symmetry	P2_1/m, No. 11
formation energy (no corrections)	-501	meV/atom
raw total energy	-3.85	eV/atom

abc: 3.9752 9.4755 10.2779
angles: 101.67 90.00 90.00
Closest atoms and distances in Å follow each position.
Fractional coordinates of all 12 atoms:
Se1 0.2500 0.5592 0.8691  3 As 2.52-2.74
Se2 0.7500 0.8368 0.1204  2 As 2.74, 1 Sn 2.78
As1 0.2500 0.6368 0.1187  5 Se 2.52-2.74
Rb1 0.7500 0.8133 0.7627  5 Se 3.47-3.84
Sn1 0.7500 0.8731 0.3960  3 Se 2.72-2.78
Rb2 0.2500 0.1867 0.2373  5 Se 3.47-3.84
Se3 0.7500 0.4408 0.1309  3 As 2.52-2.74
Se4 0.2500 0.1632 0.8796  2 As 2.74, 1 Sn 2.78
Se5 0.7500 0.3159 0.5788  2 Sn 2.72
Sn2 0.2500 0.1269 0.6040  3 Se 2.72-2.78
As2 0.7500 0.3632 0.8813  5 Se 2.52-2.74
Se6 0.2500 0.6841 0.4212  2 Sn 2.72


4.
Entry from Alexandria via LeMat-Bulk: an optimized crystal structure of RbSnAsSe2 (PBE).

Summary:
symmetry	P4/mmm, No. 123
formation energy (no corrections)	1079	meV/atom
Fermi-level density of states	6.96	states/eV/f.u.
ΔE to the lowest computed polymorph	1168	meV/atom
raw total energy	-2.24	eV/atom

abc: 5.7415 5.7415 5.5159
angles: 90.00 90.00 90.00
Closest atoms and distances in Å follow each position.
Fractional coordinates of all 5 atoms:
As1 0.0000 0.0000 0.5000  2 Rb 2.76
Sn1 0.5000 0.5000 0.5000  8 Se 3.98, 4 As 4.06
Se1 0.0000 0.5000 0.0000  2 Rb 2.87
Se2 0.5000 0.0000 0.0000  2 Rb 2.87
Rb1 0.0000 0.0000 0.0000  2 As 2.76, 4 Se 2.87